Record 1
BaGe2Pd5 | GGA-PBE | relaxed

Unit cell a=4.0564 b=7.2905 c=10.3210 alpha=90.00 beta=90.00 gamma=90.00
Space group Immm (No. 71)
Asymmetric unit:
Ba (0.0000, 0.0000, 0.0000) (multiplicity 2)
Ge (0.0000, 0.5000, 0.2381) (multiplicity 4)
Pd (0.0000, 0.1908, 0.3446) (multiplicity 8)
Pd (0.0000, 0.5000, 0.0000) (multiplicity 2)

Computed properties:
calculated total energy = -5.23 eV/atom
theoretical density = 8.86 g cm⁻³
crystal system = orthorhombic
DFT formation energy = -585 meV/atom



Record 2
BaGe3Pd3 | GGA-PBE | relaxed

Unit cell a=9.1796 b=9.1796 c=4.6968 alpha=90.00 beta=90.00 gamma=120.00
Space group P6_3/m (No. 176)
Asymmetric unit:
Ba (0.3333, 0.6667, 0.2500) (multiplicity 2)
Ge (0.0494, 0.3734, 0.7500) (multiplicity 6)
Pd (0.0608, 0.6729, 0.7500) (multiplicity 6)

Computed properties:
calculated total energy = -4.82 eV/atom
theoretical density = 6.53 g cm⁻³
crystal system = hexagonal
DFT formation energy = -345 meV/atom



Record 3
Ba2PmGe3Pd12 | GGA-PBE | relaxed

Unit cell a=9.5428 b=9.5428 c=13.3370 alpha=90.00 beta=90.00 gamma=120.00
Space group R-3m (No. 166, hexagonal axes)
Asymmetric unit:
Ba (0.0000, 0.0000, 0.1241) (multiplicity 6)
Pm (0.0000, 0.0000, 0.5000) (multiplicity 3)
Ge (0.0000, 0.5000, 0.0000) (multiplicity 9)
Pd (0.0017, 0.5009, 0.1844) (multiplicity 18)
Pd (0.0446, 0.5223, 0.3887) (multiplicity 18)

Computed properties:
calculated total energy = -5.05 eV/atom
theoretical density = 9.07 g cm⁻³
crystal system = trigonal
DFT formation energy = -340 meV/atom



Record 4
Ba2GePd6Pt | GGA-PBE | relaxed

Unit cell a=12.2301 b=5.5837 c=8.6861 alpha=90.00 beta=130.70 gamma=90.00
Space group C2/m (No. 12)
Asymmetric unit:
Ba (0.2314, 0.0000, 0.1871) (multiplicity 4)
Ge (0.0000, 0.0000, 0.5000) (multiplicity 2)
Pd (0.0152, 0.2511, 0.2797) (multiplicity 8)
Pd (0.2478, 0.0000, 0.6028) (multiplicity 4)
Pt (0.0000, 0.5000, 0.0000) (multiplicity 2)

Computed properties:
calculated total energy = -5.07 eV/atom
theoretical density = 8.72 g cm⁻³
crystal system = monoclinic
DFT formation energy = -503 meV/atom



Record 5
Ba2Ge4PdPt3 | GGA-PBE | relaxed

Unit cell a=4.5527 b=4.5527 c=10.3311 alpha=90.00 beta=90.00 gamma=90.00
Space group P-4m2 (No. 115)
Asymmetric unit:
Ba (0.0000, 0.5000, 0.2469) (multiplicity 2)
Ge (0.0000, 0.0000, 0.0000) (multiplicity 1)
Ge (0.0000, 0.5000, 0.6200) (multiplicity 2)
Ge (0.5000, 0.5000, 0.0000) (multiplicity 1)
Pd (0.0000, 0.0000, 0.5000) (multiplicity 1)
Pt (0.0000, 0.5000, 0.8782) (multiplicity 2)
Pt (0.5000, 0.5000, 0.5000) (multiplicity 1)

Computed properties:
calculated total energy = -5.31 eV/atom
theoretical density = 9.75 g cm⁻³
crystal system = tetragonal
DFT formation energy = -749 meV/atom



Record 6
BaGe2Pd2Pt | GGA-PBE | relaxed

Unit cell a=4.8068 b=4.8068 c=6.0456 alpha=90.00 beta=90.00 gamma=90.00
Space group P4/mmm (No. 123)
Asymmetric unit:
Ba (0.0000, 0.0000, 0.0000) (multiplicity 1)
Ge (0.0000, 0.5000, 0.5000) (multiplicity 2)
Pd (0.5000, 0.5000, 0.2634) (multiplicity 2)
Pt (0.0000, 0.0000, 0.5000) (multiplicity 1)

Computed properties:
calculated total energy = -4.94 eV/atom
theoretical density = 8.21 g cm⁻³
crystal system = tetragonal
DFT formation energy = -346 meV/atom



Record 7
BaGePd2Pt | GGA-PBE | relaxed

Unit cell a=4.8710 b=4.8710 c=4.8486 alpha=90.00 beta=90.00 gamma=90.00
Space group P4/mmm (No. 123)
Asymmetric unit:
Ba (0.0000, 0.0000, 0.0000) (multiplicity 1)
Ge (0.5000, 0.5000, 0.5000) (multiplicity 1)
Pd (0.0000, 0.5000, 0.5000) (multiplicity 2)
Pt (0.5000, 0.5000, 0.0000) (multiplicity 1)

Computed properties:
calculated total energy = -5.02 eV/atom
theoretical density = 8.92 g cm⁻³
crystal system = tetragonal
DFT formation energy = -426 meV/atom



Record 8
Ba2Ge4Pd3Rh | GGA-PBE | relaxed

Unit cell a=4.4586 b=4.4586 c=10.7109 alpha=90.00 beta=90.00 gamma=90.00
Space group P-4m2 (No. 115)
Asymmetric unit:
Ba (0.0000, 0.5000, 0.2455) (multiplicity 2)
Ge (0.0000, 0.0000, 0.0000) (multiplicity 1)
Ge (0.0000, 0.5000, 0.6167) (multiplicity 2)
Ge (0.5000, 0.5000, 0.0000) (multiplicity 1)
Pd (0.0000, 0.5000, 0.8745) (multiplicity 2)
Pd (0.5000, 0.5000, 0.5000) (multiplicity 1)
Rh (0.0000, 0.0000, 0.5000) (multiplicity 1)

Computed properties:
calculated total energy = -5.17 eV/atom
theoretical density = 7.70 g cm⁻³
crystal system = tetragonal
DFT formation energy = -645 meV/atom